1.
A plane-wave DFT calculation with PBE was carried out for a relaxed structure of CaMnSi2.

Properties
formation energy from raw total energies = -0.05 eV/atom
symmetry = No. 141
DOS(E_F) = 2.62 states/eV/f.u.

a b c (Å): 4.938 4.938 8.084
angles (deg): 72.22 72.22 90.00
Atoms (fractional coordinates):
Si: 0.375 0.125 0.750
Si: 0.875 0.125 0.250
Si: 0.875 0.625 0.250
Si: 0.875 0.125 0.750
Mn: 0.000 0.000 0.000
Mn: 0.750 0.250 0.500
Ca: 0.500 0.500 0.000
Ca: 0.250 0.750 0.500

---

2.
A plane-wave DFT calculation with PBE was carried out for a relaxed structure of Tm2TlAgS4.

Properties
formation energy from raw total energies = -1.36 eV/atom
symmetry = No. 63

a b c (Å): 3.986 6.978 14.281
angles (deg): 90.00 90.00 106.60
Atoms (fractional coordinates):
S: 0.000 0.000 0.000
S: 0.263 0.525 0.403
S: 0.263 0.525 0.097
S: 0.737 0.475 0.597
S: 0.441 0.882 0.750
S: 0.000 0.000 0.500
S: 0.559 0.118 0.250
S: 0.737 0.475 0.903
Tl: 0.115 0.230 0.750
Tl: 0.885 0.770 0.250
Tm: 0.369 0.738 0.934
Tm: 0.369 0.738 0.566
Tm: 0.631 0.262 0.434
Tm: 0.631 0.262 0.066
Ag: 0.174 0.349 0.250
Ag: 0.826 0.651 0.750